Computed, not measured: Zr2GeBi after structural relaxation at the PBE level of DFT.

Cell: 4.999 4.999 4.999 Å, 60.00 60.00 60.00°
Fractional coordinates of all 4 atoms:
Zr1 0.250 0.250 0.250
Zr2 0.750 0.750 0.750
Ge1 0.000 0.000 0.000
Bi1 0.500 0.500 0.500

Properties
DOS at the Fermi energy, states/eV per cell: 3.25
Energy relative to the elements, kJ per mole of atoms: -21.7
Energy above the lowest structure with this stoichiometry, kJ per mole of atoms: 29.5
ρ, g/cm3: 8.73

Computed, not measured: Zr2Ge2Bi after structural relaxation at the PBE level of DFT.

Cell: 7.547 7.547 3.759 Å, 90.00 90.00 90.00°
Fractional coordinates of all 10 atoms:
Zr1 0.169 0.331 0.000
Zr2 0.331 0.831 0.000
Zr3 0.669 0.169 0.000
Zr4 0.831 0.669 0.000
Ge1 0.124 0.624 0.500
Ge2 0.376 0.124 0.500
Ge3 0.624 0.876 0.500
Ge4 0.876 0.376 0.500
Bi1 0.000 0.000 0.500
Bi2 0.500 0.500 0.500

Properties
DOS at the Fermi energy, states/eV per cell: 12.79
Energy relative to the elements, kJ per mole of atoms: -31.4
Energy above the lowest structure with this stoichiometry, kJ per mole of atoms: 10.8
ρ, g/cm3: 8.33

Computed, not measured: ZrGeBi3 after structural relaxation at the PBE level of DFT.

Cell: 5.425 5.425 5.425 Å, 90.00 90.00 90.00°
Fractional coordinates of all 5 atoms:
Zr1 0.000 0.000 0.000
Ge1 0.500 0.500 0.500
Bi1 0.000 0.500 0.500
Bi2 0.500 0.000 0.500
Bi3 0.500 0.500 0.000

Properties
DOS at the Fermi energy, states/eV per cell: 5.35
Energy relative to the elements, kJ per mole of atoms: 76.1
Energy above the lowest structure with this stoichiometry, kJ per mole of atoms: 22.4
ρ, g/cm3: 8.23

Computed, not measured: Zr2GeBi after structural relaxation at the PBE level of DFT.

Cell: 7.291 7.291 7.291 Å, 31.68 31.68 31.68°
Fractional coordinates of all 4 atoms:
Zr1 0.237 0.237 0.237
Zr2 0.763 0.763 0.763
Ge1 0.500 0.500 0.500
Bi1 0.000 0.000 0.000

Properties
DOS at the Fermi energy, states/eV per cell: 3.02
Energy relative to the elements, kJ per mole of atoms: -49.6
Energy above the lowest structure with this stoichiometry, kJ per mole of atoms: 1.6
ρ, g/cm3: 8.12